(1)
VASP calculation (PBE) on crystalline KBaMg2 at its relaxed geometry.

Values from the calculation:
Its polymorph energy (0 for the lowest one) is 216 meV per atom. The value obtained for the formation energy from the elements is 0.32 eV per atom.

a b c (Å): 9.8274 9.8274 7.8822
angles (deg): 51.44 51.44 90.00
Element x y z (fractional)
1 Mg 0.6178 0.1250 0.2500
2 Ba 0.0000 0.0000 0.0000
3 Ba 0.7500 0.2500 0.5000
4 K 0.2500 0.7500 0.5000
5 Mg 0.1322 0.6250 0.2500
6 Mg 0.8750 0.8678 0.7500
7 K 0.5000 0.5000 0.0000
8 Mg 0.3750 0.3822 0.7500

***

(2)
VASP calculation (PBE) on crystalline NiBrCl at its relaxed geometry.

Values from the calculation:
Its formation energy (no corrections) is -0.46 eV per atom. Its polymorph energy (0 for the lowest one) is 0 meV per atom.

a b c (Å): 3.5820 6.2069 6.9622
angles (deg): 101.80 104.91 90.00
Element x y z (fractional)
1 Br 0.1419 0.3670 0.2838
2 Cl 0.6521 0.8713 0.3042
3 Cl 0.3479 0.1287 0.6958
4 Br 0.8581 0.6330 0.7162
5 Ni 0.2499 0.7569 0.4998
6 Ni 0.7501 0.2431 0.5002

***

(3)
VASP calculation (PBE) on crystalline BeAs2Se at its relaxed geometry.

Values from the calculation:
Its formation energy (no corrections) is 0.37 eV per atom. Its polymorph energy (0 for the lowest one) is 662 meV per atom.

a b c (Å): 8.9536 3.5075 3.5075
angles (deg): 90.00 90.00 90.00
Element x y z (fractional)
1 Be 0.5000 0.5000 0.0000
2 As 0.0000 0.0000 0.0000
3 As 0.0000 0.5000 0.5000
4 Se 0.5000 0.0000 0.5000

***

(4)
VASP calculation (PBE) on crystalline ZnSb2As2Pd7 at its relaxed geometry.

Values from the calculation:
Its formation energy (no corrections) is -0.34 eV per atom.

a b c (Å): 3.9056 3.9056 15.4129
angles (deg): 82.72 82.72 89.97
Element x y z (fractional)
1 Pd 0.9330 0.4327 0.1331
2 Pd 0.3020 0.3020 0.3955
3 Pd 0.6980 0.6980 0.6045
4 As 0.3837 0.3837 0.2320
5 As 0.6163 0.6163 0.7680
6 Pd 0.5673 0.0670 0.8669
7 Pd 0.0670 0.5673 0.8669
8 Pd 0.4327 0.9330 0.1331
9 Zn 0.0000 0.0000 0.0000
10 Sb 0.2135 0.2135 0.5743
11 Pd 0.5000 0.5000 0.0000
12 Sb 0.7865 0.7865 0.4257

***

Question: What is the formula in the fourth record?
Answer: ZnSb2As2Pd7